This record from the Alexandria database describes MgCrFe3 at its PBEsol-relaxed geometry. The functional is SCAN.

The structure in POSCAR format:
```
MgCrFe3
1.0
4.361 0.000 0.000
0.000 4.361 0.000
0.000 0.000 4.361
Cr Mg Fe
1 1 3
direct
0.500 0.500 0.500
0.000 0.000 0.000
0.000 0.500 0.000
0.000 0.000 0.500
0.500 0.000 0.000
```

=====

This record from the Alexandria database describes KBe2Pt at its PBEsol-relaxed geometry. The functional is SCAN.

Energy above the lowest structure with this stoichiometry = 0 meV/atom

The structure in POSCAR format:
```
KBe2Pt
1.0
2.740 0.000 -0.102
0.000 3.784 0.000
-0.839 0.000 7.203
Be K Pt
2 1 1
direct
0.798 0.000 0.928
0.886 0.500 0.155
0.530 0.000 0.510
0.286 0.500 0.908
```

=====

no.,total magnetic moment (μB/f.u.),E_tot (eV/atom)
1,12.95,-13.9024
2,0.00,-21.8952